(1)
Density functional theory data (PBE-GGA) for a relaxed structure of AcGd2Cl.

a b c (Å): 3.628 3.628 11.488
angles (deg): 80.91 80.91 60.00
Site moments in Bohr magnetons follow the coordinates.
Sites, in units of the cell vectors:
Gd1 0.895 0.895 0.315  7.21
Gd2 0.105 0.105 0.685  7.21
Ac1 0.000 0.000 0.000  0.02
Cl1 0.500 0.500 0.500  0.00

Formation energy (no corrections), eV per formula unit: -1.74
Calculated density, g/cm3: 7.440
Space-group type: No. 166

(2)
Density functional theory data (PBE-GGA) for a relaxed structure of AgHg5Pd4.

a b c (Å): 3.078 3.078 19.529
angles (deg): 90.00 90.00 90.00
Sites, in units of the cell vectors:
Hg1 0.500 0.500 0.109
Pd1 0.000 0.000 0.207
Pd2 0.000 0.000 0.402
Pd3 0.000 0.000 0.793
Hg2 0.500 0.500 0.891
Hg3 0.500 0.500 0.500
Hg4 0.500 0.500 0.305
Ag1 0.000 0.000 0.000
Pd4 0.000 0.000 0.598
Hg5 0.500 0.500 0.695

Calculated formation energy, meV per atom: -104.9
Calculated density, g/cm3: 13.789
Space-group type: No. 123

(3)
Density functional theory data (PBE-GGA) for a relaxed structure of LaSm4Er7.

a b c (Å): 5.894 11.589 6.752
angles (deg): 83.04 64.12 75.27
Sites, in units of the cell vectors:
Er1 0.634 0.499 0.233
Er2 0.211 0.077 0.501
Sm1 0.632 0.224 0.512
Er3 0.789 0.923 0.499
Er4 0.938 0.327 0.797
La1 0.000 0.000 0.000
Sm2 0.240 0.323 0.196
Er5 0.366 0.501 0.767
Sm3 0.760 0.677 0.804
Er6 0.500 0.000 0.000
Sm4 0.368 0.776 0.488
Er7 0.062 0.673 0.203

ΔE to the lowest computed polymorph, eV per formula unit: 2.23
Calculated formation energy, meV per atom: 261.6
Calculated density, g/cm3: 7.909
Space-group type: No. 12

(4)
Density functional theory data (PBE-GGA) for a relaxed structure of LiFePt.

a b c (Å): 4.128 4.128 4.128
angles (deg): 60.00 60.00 60.00
Site moments in Bohr magnetons follow the coordinates.
Sites, in units of the cell vectors:
Pt1 0.750 0.750 0.750  0.37
Fe1 0.000 0.000 0.000  3.09
Li1 0.500 0.500 0.500  -0.01

Calculated formation energy, meV per atom: 97.3
Calculated density, g/cm3: 8.610
Space-group type: No. 216

(5)
Density functional theory data (PBE-GGA) for a relaxed structure of TmTl2Sb2O6.

a b c (Å): 6.149 5.862 7.850
angles (deg): 112.08 90.00 121.63
Sites, in units of the cell vectors:
Sb1 0.934 0.868 0.758
O1 0.262 0.524 0.459
O2 0.717 0.903 0.284
Tl1 0.715 0.431 0.204
O3 0.186 0.903 0.284
O4 0.738 0.476 0.541
Sb2 0.066 0.132 0.242
Tm1 0.500 0.000 0.500
O5 0.283 0.097 0.716
O6 0.814 0.097 0.716
Tl2 0.285 0.569 0.796

Formation energy (no corrections), eV per formula unit: -17.39
Calculated density, g/cm3: 7.046
Space-group type: No. 12

(6)
Density functional theory data (PBE-GGA) for a relaxed structure of ZnOs2Rh.

a b c (Å): 4.755 4.755 4.638
angles (deg): 80.81 80.81 33.39
Sites, in units of the cell vectors:
Zn1 0.250 0.250 0.250
Os1 0.007 0.007 0.002
Rh1 0.750 0.750 0.750
Os2 0.493 0.493 0.498

Calculated formation energy, meV per atom: 124.1
Calculated density, g/cm3: 16.014
Space-group type: No. 12

(7)
Density functional theory data (PBE-GGA) for a relaxed structure of CaHgIr2.

a b c (Å): 5.078 5.078 5.238
angles (deg): 80.44 80.44 33.95
Sites, in units of the cell vectors:
Ir1 0.502 0.502 0.464
Ir2 0.998 0.998 0.036
Hg1 0.250 0.250 0.250
Ca1 0.750 0.750 0.750

Calculated formation energy, meV per atom: 162.4
Calculated density, g/cm3: 13.971
Space-group type: No. 12

(8)
Density functional theory data (PBE-GGA) for a relaxed structure of LiPm2AlAu6.

a b c (Å): 7.688 7.175 5.322
angles (deg): 53.67 67.08 85.93
Sites, in units of the cell vectors:
Au1 0.606 0.093 0.125
Au2 0.158 0.412 0.392
Li1 0.500 0.500 0.000
Au3 0.742 0.738 0.041
Pm1 0.806 0.233 0.398
Al1 0.000 0.000 0.000
Au4 0.394 0.907 0.875
Au5 0.842 0.588 0.608
Pm2 0.194 0.767 0.602
Au6 0.258 0.262 0.959

Calculated formation energy, meV per atom: -540.3
Calculated density, g/cm3: 11.754
Space-group type: No. 2

(9)
Density functional theory data (PBE-GGA) for a relaxed structure of NdZn3CuPt.

a b c (Å): 5.629 6.106 7.068
angles (deg): 115.59 90.00 90.00
Sites, in units of the cell vectors:
Pt1 0.750 0.657 0.315
Zn1 0.250 0.139 0.277
Cu1 0.750 0.059 0.117
Zn2 0.500 0.298 0.000
Zn3 0.000 0.702 0.000
Nd1 0.250 0.724 0.448
Pt2 0.250 0.343 0.685
Zn4 0.750 0.861 0.723
Nd2 0.750 0.276 0.552
Zn5 0.000 0.298 0.000
Zn6 0.500 0.702 0.000
Cu2 0.250 0.941 0.883

Calculated formation energy, meV per atom: -335.4
Calculated density, g/cm3: 9.080
Space-group type: No. 63

(10)
Density functional theory data (PBE-GGA) for a relaxed structure of LaAl2Br.

a b c (Å): 6.242 3.575 4.738
angles (deg): 90.47 90.00 90.00
Sites, in units of the cell vectors:
Al1 0.000 0.463 0.520
La1 0.500 0.750 0.750
Br1 0.500 0.250 0.250
Al2 0.000 0.037 0.980

Formation energy (no corrections), eV per formula unit: -1.36
ΔE to the lowest computed polymorph, eV per formula unit: 1.00
Calculated density, g/cm3: 4.285
Space-group type: No. 10

(11)
Density functional theory data (PBE-GGA) for a relaxed structure of Ge2SbOs.

a b c (Å): 5.942 5.942 7.198
angles (deg): 65.62 65.62 90.00
Sites, in units of the cell vectors:
Os1 0.000 0.000 0.000
Sb1 0.250 0.750 0.500
Os2 0.750 0.250 0.500
Sb2 0.500 0.500 0.000
Ge1 0.678 0.125 0.250
Ge2 0.375 0.322 0.750
Ge3 0.875 0.928 0.750
Ge4 0.072 0.625 0.250

Formation energy (no corrections), eV per formula unit: 1.96
Calculated density, g/cm3: 7.359
Space-group type: No. 122

(12)
Density functional theory data (PBE-GGA) for a relaxed structure of Nb7Tc2Ru3.

a b c (Å): 4.397 4.517 11.208
angles (deg): 101.63 90.00 90.00
Sites, in units of the cell vectors:
Nb1 0.500 0.921 0.841
Nb2 0.500 0.079 0.159
Nb3 0.000 0.573 0.146
Nb4 0.000 0.427 0.854
Nb5 0.000 0.713 0.425
Ru1 0.500 0.648 0.295
Nb6 0.000 0.287 0.575
Ru2 0.500 0.500 0.000
Nb7 0.000 0.000 0.000
Tc1 0.000 0.851 0.702
Tc2 0.000 0.149 0.298
Ru3 0.500 0.352 0.705

Calculated formation energy, meV per atom: 136.8
Calculated density, g/cm3: 8.754
Space-group type: No. 65